Below is a relaxed structure of Fe2SnBiO6, with properties calculated at the PBE with a Hubbard U level.

Values from the calculation:
DOS(E_F) (states/eV per atom): 0.000
M_tot (μB per cell): 9.039
Total DFT energy (no corrections) (eV per atom): -6.307

```
data_Fe2SnBiO6
_space_group_name_H-M_alt 'P 1'
_space_group_IT_number 1
_space_group_name_Hall 'P 1'
_cell_length_a 5.458
_cell_length_b 5.458
_cell_length_c 5.845
_cell_angle_alpha 90.78
_cell_angle_beta 117.07
_cell_angle_gamma 119.78
loop_
_atom_site_label
_atom_site_type_symbol
_atom_site_fract_x
_atom_site_fract_y
_atom_site_fract_z
Fe1 Fe 0.000 0.000 0.000
Fe2 Fe 0.022 0.514 0.530
Sn1 Sn 0.420 0.214 0.628
Bi1 Bi 0.452 0.729 0.168
O1 O 0.167 0.369 0.332
O2 O 0.208 0.307 0.806
O3 O 0.506 0.913 0.806
O4 O 0.547 0.176 0.340
O5 O 0.898 0.608 0.811
O6 O 0.967 0.800 0.342
```